[1]
The following is a GGA-PBEsol calculation of a relaxed structure of InMo2Ru, from the Alexandria database.

Computed properties:
Its space group is No. 25. As for the energy relative to the elements: 0.276 eV/atom.

a = 2.803 Å, b = 4.014 Å, c = 5.700 Å
α = 90.00°, β = 90.00°, γ = 90.00°
Atoms (fractional coordinates):
In 0.000 0.000 0.000
Mo 0.000 0.000 0.510
Mo 0.500 0.500 0.282
Ru 0.500 0.500 0.723



[2]
The following is a GGA-PBEsol calculation of a relaxed structure of MgF2, from the Alexandria database.

Computed properties:
Its space group is No. 74. The value obtained for the raw formation energy is -3.4243 eV/atom.

a = 5.776 Å, b = 5.776 Å, c = 5.776 Å
α = 140.78°, β = 112.73°, γ = 80.73°
Atoms (fractional coordinates):
Mg 0.360 0.110 0.250
Mg 0.640 0.890 0.750
F 0.000 0.000 0.000
F 0.411 0.661 0.750
F 0.500 0.000 0.500
F 0.589 0.339 0.250



It is found that the final energy values, taken in the order of the records, are -8.897 -5.282 eV/atom.
It is found that the spin magnetization values, taken in the order of the records, are 0.0 0.1 μB per cell.